Here is crystalline Pd4Se5 at its relaxed geometry from the Alexandria database. Energies are from GGA-PBE.

The structure in POSCAR format:
```
Pd4Se5
1.0
-6.741 6.741 1.449
6.741 -6.741 1.449
6.741 6.741 -1.449
Pd Se
4 5
Cartesian
2.464 0.000 0.000
11.017 0.000 0.000
0.000 2.464 0.000
0.000 11.017 0.000
0.000 0.000 0.000
4.482 4.482 0.000
2.258 -2.258 1.449
-2.258 2.258 1.449
2.258 2.258 1.449
```

Output
- DFT total energy: -37.876 eV/cell
- Symmetry: I4/mmm, No. 139
- Density of states at the Fermi level: 6.53 states/eV per cell
- Formation energy from raw total energies: 0.035 eV per atom
- Magnetic moment: 0.0 μB/f.u.
- Volume: 263.29 Å³/f.u.